#one
The following is a PBE calculation of a relaxed PSN2Cl crystal, from Alexandria.

a b c (Å): 3.7937 3.7937 4.6347
angles (deg): 90.00 90.00 90.00
Closest atoms and distances in Å follow each position.
Element x y z (fractional)
P1 0.0000 0.0000 0.0000  4 S 2.68, 8 N 2.99
S1 0.5000 0.5000 0.0000  2 Cl 2.32
N1 0.0000 0.5000 0.5000  2 Cl 1.90
N2 0.5000 0.0000 0.5000  2 Cl 1.90
Cl1 0.5000 0.5000 0.5000  4 N 1.90

#two
The following is a PBE calculation of a relaxed PSN2Cl crystal, from Alexandria.

a b c (Å): 3.3720 3.3720 5.7824
angles (deg): 90.00 90.00 90.00
Closest atoms and distances in Å follow each position.
Element x y z (fractional)
P1 0.0000 0.0000 0.0000  4 N 1.69
S1 0.0000 0.0000 0.5000  4 Cl 2.38
N1 0.0000 0.5000 0.0000  2 P 1.69
N2 0.5000 0.0000 0.0000  2 P 1.69
Cl1 0.5000 0.5000 0.5000  4 S 2.38

Which one is most stable, and which one is least stable? #two is the most stable of them, while #one is the least stable.